Entry 1:
First-principles (PBE-GGA) data for a relaxed Sc2GaHg2 crystal, as listed in the Alexandria database.

The formation energy comes out at -0.230 eV/atom. For the energy above the lowest structure with this stoichiometry, the calculation gives 140.6 meV per atom. The calculation puts the total energy at -0.12822 hartree per atom.

abc: 7.749 7.749 3.788
angles: 90.00 90.00 90.00
Sites, in units of the cell vectors:
1 Sc 0.341 0.841 0.000
2 Sc 0.841 0.659 0.000
3 Sc 0.659 0.159 0.000
4 Sc 0.159 0.341 0.000
5 Hg 0.143 0.643 0.500
6 Hg 0.643 0.857 0.500
7 Hg 0.857 0.357 0.500
8 Hg 0.357 0.143 0.500
9 Ga 0.000 0.000 0.000
10 Ga 0.500 0.500 0.000



Entry 2:
First-principles (PBE-GGA) data for a relaxed ScGa3Hg crystal, as listed in the Alexandria database.

The formation energy comes out at 0.495 eV/atom. For the energy above the lowest structure with this stoichiometry, the calculation gives 0.0 meV per atom. The calculation puts the total energy at -0.09730 hartree per atom.

abc: 5.350 5.350 5.350
angles: 90.00 90.00 90.00
Sites, in units of the cell vectors:
1 Sc 0.000 0.000 0.000
2 Hg 0.500 0.500 0.500
3 Ga 0.000 0.500 0.000
4 Ga 0.000 0.000 0.500
5 Ga 0.500 0.000 0.000



Entry 3:
First-principles (PBE-GGA) data for a relaxed ScGaHg crystal, as listed in the Alexandria database.

The formation energy comes out at -0.390 eV/atom. For the energy above the lowest structure with this stoichiometry, the calculation gives 43.0 meV per atom. The calculation puts the total energy at -0.13267 hartree per atom.

abc: 3.333 4.562 4.562
angles: 120.00 90.00 90.00
Sites, in units of the cell vectors:
1 Sc 0.666 0.667 0.333
2 Hg 0.166 0.333 0.667
3 Ga 0.168 0.000 0.000



Entry 4:
First-principles (PBE-GGA) data for a relaxed ScGaHg crystal, as listed in the Alexandria database.

The formation energy comes out at -0.393 eV/atom. For the energy above the lowest structure with this stoichiometry, the calculation gives 40.2 meV per atom. The calculation puts the total energy at -0.13277 hartree per atom.

abc: 5.852 5.616 4.394
angles: 113.08 67.96 106.61
Sites, in units of the cell vectors:
1 Sc 0.769 0.994 0.048
2 Sc 0.177 0.576 0.135
3 Hg 0.571 0.540 0.420
4 Hg 0.376 0.029 0.763
5 Ga 0.827 0.449 0.746
6 Ga 0.119 0.121 0.437



Entry 5:
First-principles (PBE-GGA) data for a relaxed ScGaHg crystal, as listed in the Alexandria database.

The formation energy comes out at -0.306 eV/atom. For the energy above the lowest structure with this stoichiometry, the calculation gives 127.1 meV per atom. The calculation puts the total energy at -0.12958 hartree per atom.

abc: 4.235 4.235 7.072
angles: 90.00 90.00 90.00
Sites, in units of the cell vectors:
1 Sc 0.000 0.500 0.189
2 Sc 0.500 0.000 0.811
3 Hg 0.000 0.500 0.783
4 Hg 0.500 0.000 0.217
5 Ga 0.000 0.000 0.500
6 Ga 0.500 0.500 0.500



Entry 6:
First-principles (PBE-GGA) data for a relaxed ScGaHg2 crystal, as listed in the Alexandria database.

The formation energy comes out at -0.120 eV/atom. The calculation puts the total energy at -0.09594 hartree per atom.

abc: 3.672 3.672 8.220
angles: 77.09 77.09 60.00
Sites, in units of the cell vectors:
1 Sc 0.666 0.666 0.001
2 Ga 0.500 0.500 0.499
3 Hg 0.086 0.086 0.742
4 Hg 0.248 0.248 0.257



Entry 7:
First-principles (PBE-GGA) data for a relaxed Sc4Ga3Hg crystal, as listed in the Alexandria database.

The formation energy comes out at -0.525 eV/atom. For the energy above the lowest structure with this stoichiometry, the calculation gives 27.1 meV per atom. The calculation puts the total energy at -0.17872 hartree per atom.

abc: 3.509 4.293 10.840
angles: 90.00 90.00 90.00
Sites, in units of the cell vectors:
1 Sc 0.500 0.500 0.354
2 Sc 0.000 0.500 0.841
3 Sc 0.000 0.000 0.159
4 Sc 0.500 0.000 0.651
5 Ga 0.000 0.500 0.579
6 Ga 0.000 0.000 0.423
7 Ga 0.500 0.000 0.914
8 Hg 0.500 0.500 0.079



Entry 8:
First-principles (PBE-GGA) data for a relaxed ScGaHg crystal, as listed in the Alexandria database.

The formation energy comes out at -0.317 eV/atom. For the energy above the lowest structure with this stoichiometry, the calculation gives 115.9 meV per atom. The calculation puts the total energy at -0.13000 hartree per atom.

abc: 8.399 5.975 4.882
angles: 90.00 90.00 90.00
Sites, in units of the cell vectors:
1 Sc 0.333 0.250 0.001
2 Sc 0.167 0.750 0.501
3 Sc 0.667 0.750 0.999
4 Sc 0.833 0.250 0.499
5 Hg 0.667 0.250 0.999
6 Hg 0.833 0.750 0.499
7 Hg 0.333 0.750 0.001
8 Hg 0.167 0.250 0.501
9 Ga 0.000 0.000 0.000
10 Ga 0.500 0.500 0.500
11 Ga 0.500 0.000 0.500
12 Ga 0.000 0.500 0.000



Entry 9:
First-principles (PBE-GGA) data for a relaxed ScGaHg crystal, as listed in the Alexandria database.

The formation energy comes out at 0.441 eV/atom. For the energy above the lowest structure with this stoichiometry, the calculation gives 874.3 meV per atom. The calculation puts the total energy at -0.10212 hartree per atom.

abc: 4.429 4.429 10.580
angles: 90.00 90.00 120.00
Each line ends with the local moment (μB).
Sites, in units of the cell vectors:
1 Sc 0.000 0.000 0.000  0.33
2 Sc 0.000 0.000 0.500  0.32
3 Hg 0.333 0.667 0.250  -0.01
4 Hg 0.667 0.333 0.750  -0.01
5 Ga 0.000 0.000 0.250  0.02
6 Ga 0.000 0.000 0.750  0.02



Entry 10:
First-principles (PBE-GGA) data for a relaxed Sc2GaHg3 crystal, as listed in the Alexandria database.

The formation energy comes out at -0.314 eV/atom. The calculation puts the total energy at -0.11317 hartree per atom.

abc: 3.283 4.712 8.187
angles: 90.00 90.00 90.00
Each line ends with the local moment (μB).
Sites, in units of the cell vectors:
1 Sc 0.000 0.500 0.010  0.16
2 Sc 0.000 0.000 0.495  -0.03
3 Ga 0.500 0.500 0.330  0.00
4 Hg 0.500 0.000 0.835  0.00
5 Hg 0.500 0.000 0.177  0.00
6 Hg 0.500 0.500 0.654  0.00



Entry 11:
First-principles (PBE-GGA) data for a relaxed ScGaHg crystal, as listed in the Alexandria database.

The formation energy comes out at -0.388 eV/atom. For the energy above the lowest structure with this stoichiometry, the calculation gives 45.1 meV per atom. The calculation puts the total energy at -0.13260 hartree per atom.

abc: 4.178 4.414 6.929
angles: 108.57 90.02 90.00
Sites, in units of the cell vectors:
1 Sc 0.535 0.042 0.322
2 Sc 0.535 0.748 0.731
3 Hg 0.035 0.564 0.364
4 Hg 0.035 0.226 0.689
5 Ga 0.535 0.395 0.027
6 Ga 0.035 0.895 0.027



Entry 12:
First-principles (PBE-GGA) data for a relaxed Sc5GaHg4 crystal, as listed in the Alexandria database.

The formation energy comes out at -0.457 eV/atom. The calculation puts the total energy at -0.14871 hartree per atom.

abc: 3.489 3.489 17.507
angles: 90.00 90.00 90.00
Sites, in units of the cell vectors:
1 Sc 0.500 0.500 0.092
2 Sc 0.500 0.500 0.296
3 Sc 0.500 0.500 0.500
4 Sc 0.500 0.500 0.704
5 Sc 0.500 0.500 0.908
6 Ga 0.000 0.000 0.000
7 Hg 0.000 0.000 0.194
8 Hg 0.000 0.000 0.398
9 Hg 0.000 0.000 0.602
10 Hg 0.000 0.000 0.806



Entry 13:
First-principles (PBE-GGA) data for a relaxed Sc4Ga2Hg crystal, as listed in the Alexandria database.

The formation energy comes out at -0.399 eV/atom. For the energy above the lowest structure with this stoichiometry, the calculation gives 0.0 meV per atom. The calculation puts the total energy at -0.18099 hartree per atom.

abc: 4.768 4.768 8.204
angles: 73.11 73.11 60.00
Sites, in units of the cell vectors:
1 Sc 0.870 0.870 0.390
2 Sc 0.130 0.130 0.610
3 Sc 0.616 0.616 0.151
4 Sc 0.384 0.384 0.849
5 Ga 0.751 0.751 0.748
6 Ga 0.249 0.249 0.252
7 Hg 0.000 0.000 0.000